A plane-wave DFT calculation with GGA+U was carried out for an optimized crystal structure of ReMoIO2.

Computed properties:
**Crystal system**: tetragonal
**DFT total energy**: -29.37 eV per cell
**Space group**: P4/mmm, No. 123
**Energy above the most stable polymorph in this dataset**: 0.465 eV/atom

a = 3.9241 Å, b = 3.9241 Å, c = 7.7744 Å
α = 90.00°, β = 90.00°, γ = 90.00°
Last column: nearest neighbours and their distance in Å.
Positions (direct):
O: 0.5000 0.0000 0.0000  2 Mo 1.96
O: 0.0000 0.5000 0.0000  2 Mo 1.96
Re: 0.5000 0.5000 0.5000  4 I 2.77
I: 0.0000 0.0000 0.5000  4 Re 2.77
Mo: 0.0000 0.0000 0.0000  4 O 1.96